Entry 1:
Computed, not measured: BaTl4Mo after structural relaxation at the GGA-PBE level of DFT.

Cell lengths 9.0485, 9.0485, 9.0485 Å; angles 90.00, 90.00, 90.00 degrees
Space group F-43m (No. 216)
Inequivalent atoms, fractional coordinates:
Ba1 0.0000 0.0000 0.0000 (multiplicity 4)
Tl1 0.1239 0.1239 0.3761 (multiplicity 16)
Mo1 0.2500 0.2500 0.7500 (multiplicity 4)

Values from the calculation:
ΔE_f, meV per atom: 507.4
DFT total energy, eV per atom: -3.196

---

Entry 2:
Computed, not measured: Ti2AlFe after structural relaxation at the GGA-PBE level of DFT.

Cell lengths 3.0687, 3.0687, 6.2436 Å; angles 90.00, 90.00, 90.00 degrees
Space group P4/mmm (No. 123)
Inequivalent atoms, fractional coordinates:
Ti1 0.0000 0.0000 0.2241 (multiplicity 2)
Al1 0.5000 0.5000 0.5000 (multiplicity 1)
Fe1 0.5000 0.5000 0.0000 (multiplicity 1)

Values from the calculation:
ΔE_f, meV per atom: -339.7
DFT total energy, eV per atom: -7.339

---

Entry 3:
Computed, not measured: BaSiPb2 after structural relaxation at the GGA-PBE level of DFT.

Cell lengths 3.7409, 5.8379, 11.3259 Å; angles 90.00, 90.00, 90.00 degrees
Space group Immm (No. 71)
Inequivalent atoms, fractional coordinates:
Ba1 0.0000 0.0000 0.0000 (multiplicity 2)
Si1 0.0000 0.0000 0.5000 (multiplicity 2)
Pb1 0.0000 0.5000 0.2058 (multiplicity 4)

Values from the calculation:
DFT total energy, eV per atom: -3.764
ΔE_f (raw), eV/atom: -0.07

---

Entry 4:
Computed, not measured: Gd2Si2O7 after structural relaxation at the GGA-PBE level of DFT.

Cell lengths 6.7388, 6.7742, 12.2609 Å; angles 94.20, 91.05, 91.67 degrees
Space group P-1 (No. 2)
Inequivalent atoms, fractional coordinates:
Gd1 0.0510 0.3272 0.1163 (multiplicity 2)
Gd2 0.1187 0.0879 0.3585 (multiplicity 2)
Gd3 0.3311 0.8251 0.1069 (multiplicity 2)
Gd4 0.3647 0.2274 0.6328 (multiplicity 2)
Si1 0.1479 0.6249 0.3821 (multiplicity 2)
Si2 0.1524 0.1498 0.8842 (multiplicity 2)
Si3 0.3754 0.7296 0.5947 (multiplicity 2)
Si4 0.4881 0.6700 0.8243 (multiplicity 2)
O1 0.0012 0.6675 0.0816 (multiplicity 2)
O2 0.0021 0.9887 0.8148 (multiplicity 2)
O3 0.0333 0.2310 0.5766 (multiplicity 2)
O4 0.0791 0.4180 0.3147 (multiplicity 2)
O5 0.2274 0.9085 0.6215 (multiplicity 2)
O6 0.2308 0.0857 0.0027 (multiplicity 2)
O7 0.2851 0.5757 0.4924 (multiplicity 2)
O8 0.2911 0.7773 0.3152 (multiplicity 2)
O9 0.3030 0.7084 0.9057 (multiplicity 2)
O10 0.3432 0.2131 0.8141 (multiplicity 2)
O11 0.3577 0.4862 0.1282 (multiplicity 2)
O12 0.3806 0.1359 0.2093 (multiplicity 2)
O13 0.3988 0.5786 0.6959 (multiplicity 2)
O14 0.4162 0.1754 0.4465 (multiplicity 2)

Values from the calculation:
DFT total energy, eV per atom: -9.875
ΔE_f (raw), eV/atom: -3.17

---

Entry 5:
Computed, not measured: AlGa2Cl2 after structural relaxation at the GGA-PBE level of DFT.

Cell lengths 3.7671, 3.7671, 17.0367 Å; angles 90.00, 90.00, 90.00 degrees
Space group I4/mmm (No. 139)
Inequivalent atoms, fractional coordinates:
Al1 0.0000 0.0000 0.0000 (multiplicity 2)
Ga1 0.0000 0.5000 0.2500 (multiplicity 4)
Cl1 0.0000 0.0000 0.3966 (multiplicity 4)

Values from the calculation:
Distance to the lowest polymorph of the same formula, meV/atom: 0
DFT total energy, eV per atom: -2.955
ΔE_f (raw), eV/atom: -0.26

---

Entry 6:
Computed, not measured: CsSrBr3 after structural relaxation at the GGA-PBE level of DFT.

Cell lengths 19.3913, 4.7182, 10.9659 Å; angles 90.00, 108.89, 90.00 degrees
Space group C2/m (No. 12)
Inequivalent atoms, fractional coordinates:
Cs1 0.1365 0.0000 0.3097 (multiplicity 4)
Sr1 0.1581 0.5000 0.8292 (multiplicity 4)
Br1 0.0609 0.0000 0.8408 (multiplicity 4)
Br2 0.1597 0.5000 0.5596 (multiplicity 4)
Br3 0.2240 0.5000 0.1291 (multiplicity 4)

Values from the calculation:
DFT total energy, eV per atom: -3.489
ΔE_f (raw), eV/atom: -1.98

---

Values of calculated density, in order: 9.42, 5.04, 7.79, 5.75, 3.26, 3.22, all in g/cm³.